(1)
# GGA-PBE MoRuRh, optimized geometry
# - DFT formation energy: 0.193 eV per atom
# - Distance to the lowest polymorph of the same formula: 302.8 meV/atom
# - Crystal system: tetragonal
# - Magnetization: 0.0 μB/f.u.
data_MoRuRh
_cell_length_a 3.252
_cell_length_b 3.252
_cell_length_c 8.513
_cell_angle_alpha 90.00
_cell_angle_beta 90.00
_cell_angle_gamma 90.00
_space_group_name_H-M_alt 'I 4 m m'
_space_group_IT_number 107
_space_group_name_Hall 'I 4 -2'
loop_
_atom_site_label
_atom_site_type_symbol
_atom_site_fract_x
_atom_site_fract_y
_atom_site_fract_z
_atom_site_occupancy
Mo1 Mo 0.000 0.000 0.000 1
Ru1 Ru 0.000 0.000 0.652 1
Rh1 Rh 0.000 0.000 0.334 1

(2)
# GGA-PBE BaNi3, optimized geometry
# - DFT formation energy: 0.660 eV per atom
# - Crystal system: tetragonal
# - Magnetization: 0.0 μB/f.u.
data_BaNi3
_cell_length_a 4.272
_cell_length_b 4.272
_cell_length_c 7.519
_cell_angle_alpha 90.00
_cell_angle_beta 90.00
_cell_angle_gamma 90.00
_space_group_name_H-M_alt 'I 4/m m m'
_space_group_IT_number 139
_space_group_name_Hall '-I 4 2'
loop_
_atom_site_label
_atom_site_type_symbol
_atom_site_fract_x
_atom_site_fract_y
_atom_site_fract_z
_atom_site_occupancy
Ba1 Ba 0.000 0.000 0.000 1
Ni1 Ni 0.000 0.000 0.500 1
Ni2 Ni 0.000 0.500 0.250 1

(3)
# GGA-PBE ScCdIr2, optimized geometry
# - DFT formation energy: 0.149 eV per atom
# - Crystal system: tetragonal
# - Magnetization: 0.0 μB/f.u.
data_ScCdIr2
_cell_length_a 4.126
_cell_length_b 4.126
_cell_length_c 18.115
_cell_angle_alpha 90.00
_cell_angle_beta 90.00
_cell_angle_gamma 90.00
_space_group_name_H-M_alt 'I -4 2 d'
_space_group_IT_number 122
_space_group_name_Hall 'I -4 2bw'
loop_
_atom_site_label
_atom_site_type_symbol
_atom_site_fract_x
_atom_site_fract_y
_atom_site_fract_z
_atom_site_occupancy
Sc1 Sc 0.000 0.000 0.000 1
Cd1 Cd 0.000 0.000 0.500 1
Ir1 Ir 0.193 0.250 0.125 1

- What is the DFT formation energy in the second record?
  0.660 eV per atom